1.
MnCoCu2: optimized geometry, GGA-PBE.

Cell: 2.928 3.001 5.472 Å, 90.00 90.00 90.00°
Positions (direct):
Mn1 0.000 0.000 0.000
Co1 0.500 0.500 0.763
Cu1 0.000 0.000 0.511
Cu2 0.500 0.500 0.267

Summary:
Theoretical density ... 8.32 g/cm3
ΔH_f (0 K) ... 0.11 eV/atom
Space group ... No. 25


2.
Ag2Pb2Se2S: optimized geometry, GGA-PBE.

Cell: 3.994 6.814 7.821 Å, 64.44 75.49 72.97°
Positions (direct):
Ag1 0.216 0.167 0.401
Ag2 0.784 0.833 0.599
Pb1 0.483 0.256 0.792
Pb2 0.517 0.744 0.208
Se1 0.154 0.872 0.825
Se2 0.846 0.128 0.175
S1 0.000 0.500 0.500

Summary:
Theoretical density ... 7.50 g/cm3
Formation energy without anion corrections ... -246 meV per atom
Space group ... No. 2


3.
LaTh2Pt3: optimized geometry, GGA-PBE.

Cell: 13.871 13.231 7.329 Å, 79.20 69.54 31.26°
Positions (direct):
La1 0.042 0.042 0.208
La2 0.208 0.208 0.042
La3 0.792 0.792 0.958
La4 0.958 0.958 0.792
Th1 0.125 0.125 0.625
Th2 0.292 0.292 0.458
Th3 0.375 0.375 0.875
Th4 0.458 0.458 0.292
Th5 0.542 0.542 0.708
Th6 0.625 0.625 0.125
Th7 0.708 0.708 0.542
Th8 0.875 0.875 0.375
Pt1 0.043 0.543 0.215
Pt2 0.132 0.618 0.618
Pt3 0.215 0.699 0.043
Pt4 0.301 0.785 0.457
Pt5 0.382 0.868 0.868
Pt6 0.457 0.957 0.301
Pt7 0.543 0.043 0.699
Pt8 0.618 0.132 0.132
Pt9 0.699 0.215 0.543
Pt10 0.785 0.301 0.957
Pt11 0.868 0.382 0.382
Pt12 0.957 0.457 0.785

Summary:
Theoretical density ... 12.40 g/cm3
ΔH_f (0 K) ... -1.21 eV/atom
Space group ... No. 70